An optimized crystal structure of K2LiSi2. Source: Alexandria via LeMat-Bulk, functional PBE.

Lattice parameters (Å, degrees): 7.7375 7.7375 5.2286 90.00 90.00 90.00
Last column: nearest neighbours and their distance in Å.
Sites, in units of the cell vectors:
K  0.1878  0.6878  0.5000  6 Si 3.49-3.51, 4 Li 3.84
K  0.6878  0.8122  0.5000  6 Si 3.49-3.51, 4 Li 3.84
K  0.8122  0.3122  0.5000  6 Si 3.49-3.51, 4 Li 3.84
K  0.3122  0.1878  0.5000  6 Si 3.49-3.51, 4 Li 3.84
Si  0.3986  0.8986  0.0000  1 Si 2.22
Si  0.8986  0.6014  0.0000  1 Si 2.22
Si  0.6014  0.1014  0.0000  1 Si 2.22
Si  0.1014  0.3986  0.0000  1 Si 2.22
Li  0.0000  0.0000  0.0000  4 Si 3.18
Li  0.5000  0.5000  0.0000  4 Si 3.18

- DOS at the Fermi energy: 0.47 states/eV/atom
- ΔE_f (raw): 0.19 eV per atom
- Space-group type: No. 127